Record 1
Here is a geometry-optimized KRh3Br structure from Alexandria via LeMat-Bulk. Energies are from PBE.

Cell lengths 4.963, 4.963, 4.963 Å; angles 90.00, 90.00, 90.00 degrees
Each line ends with the local moment (μB).
Fractional coordinates of all 5 atoms:
K  0.000  0.000  0.000  -0.02
Br  0.500  0.500  0.500  0.12
Rh  0.500  0.000  0.000  1.10
Rh  0.000  0.500  0.000  1.26
Rh  0.000  0.000  0.500  0.96

Crystal system = cubic
ρ = 5.81 g cm⁻³
Uncorrected formation energy = 2.173 eV per atom


Record 2
Here is a geometry-optimized KRh2Br structure from Alexandria via LeMat-Bulk. Energies are from PBE.

Cell lengths 5.623, 5.623, 3.019 Å; angles 90.00, 90.00, 120.11 degrees
Each line ends with the local moment (μB).
Fractional coordinates of all 4 atoms:
Br  0.500  0.000  0.500  0.04
Rh  0.000  0.000  0.000  0.85
Rh  0.500  0.500  0.000  0.85
K  0.000  0.500  0.500  -0.01

Crystal system = orthorhombic
ρ = 6.53 g cm⁻³
Uncorrected formation energy = 0.774 eV per atom


uncorrected formation energy of number 2 (KRh2Br)?
0.774 eV per atom


Number 2 is which compound?
KRh2Br


Which formula does entry 1 have?
KRh3Br